Record 1
Compound: SrZnGe2S6
Source: Alexandria via LeMat-Bulk
Functional: PBE
Structure: relaxed

Values from the calculation:
**Crystal system**: monoclinic
**Space group**: C2/c, No. 15
**DFT total energy**: -4.3978 eV per atom

a b c (Å): 8.9671 8.9671 6.9151
angles (deg): 105.45 105.45 88.43
Closest atoms and distances in Å follow each position.
Fractional positions:
1 Sr 0.1284 0.8716 0.7500  6 S 2.93-3.06
2 Sr 0.8716 0.1284 0.2500  6 S 2.93-3.06
3 Zn 0.2296 0.7704 0.2500  4 S 2.29-2.53
4 Zn 0.7704 0.2296 0.7500  4 S 2.29-2.53
5 Ge 0.2277 0.3738 0.8085  4 S 2.23-2.31
6 Ge 0.3738 0.2277 0.3085  4 S 2.23-2.31
7 Ge 0.6262 0.7723 0.6915  4 S 2.23-2.31
8 Ge 0.7723 0.6262 0.1915  4 S 2.23-2.31
9 S 0.0370 0.1911 0.6927  1 Ge 2.23
10 S 0.1353 0.6038 0.9258  1 Ge 2.23, 1 Zn 2.29
11 S 0.1911 0.0370 0.1927  1 Ge 2.23
12 S 0.3034 0.4279 0.5391  2 Ge 2.26-2.31
13 S 0.3962 0.8647 0.5742  1 Ge 2.23, 1 Zn 2.29
14 S 0.4279 0.3034 0.0391  2 Ge 2.26-2.31
15 S 0.5721 0.6966 0.9609  2 Ge 2.26-2.31
16 S 0.6038 0.1353 0.4258  1 Ge 2.23, 1 Zn 2.29
17 S 0.6966 0.5721 0.4609  2 Ge 2.26-2.31
18 S 0.8089 0.9630 0.8073  1 Ge 2.23
19 S 0.8647 0.3962 0.0742  1 Ge 2.23, 1 Zn 2.29
20 S 0.9630 0.8089 0.3073  1 Ge 2.23



Record 2
Compound: Cu2GeAuC
Source: Alexandria via LeMat-Bulk
Functional: PBE
Structure: relaxed

Values from the calculation:
**Crystal system**: tetragonal
**Space group**: P4/mmm, No. 123
**DFT total energy**: -3.1396 eV per atom

a b c (Å): 4.8306 4.8306 4.6842
angles (deg): 90.00 90.00 90.00
Closest atoms and distances in Å follow each position.
Fractional positions:
1 Cu 0.0000 0.5000 0.0000  2 Au 2.42
2 Cu 0.5000 0.0000 0.0000  2 Au 2.42
3 Ge 0.0000 0.0000 0.5000  2 Au 2.34
4 Au 0.0000 0.0000 0.0000  2 Ge 2.34, 4 Cu 2.42
5 C 0.5000 0.5000 0.5000  8 Cu 3.36, 4 Ge 3.42